No. 1
{"formula": "La4GaHg", "functional": "GGA-PBE", "state": "optimized geometry", "space_group": "Pmmm (47)", "e_above_lowest_polymorph_mev_per_atom": 0, "ef_ev_per_atom": -0.2169, "lattice": [[5.290, 0.000, 0.000], [0.000, 7.357, -0.018], [0.000, 0.012, 5.322]], "species": ["La", "La", "La", "La", "Ga", "Hg"], "frac_coords": [[0.500, 0.765, 0.000], [0.500, 0.235, 0.000], [0.000, 0.233, 0.500], [0.000, 0.767, 0.500], [0.000, 0.000, 0.000], [0.500, 0.500, 0.500]]}

No. 2
{"formula": "Pb4Br", "functional": "GGA-PBE", "state": "optimized geometry", "formation_energy_uncorrected_ev_per_atom": -0.105, "space_group": "I4/mmm (139)", "e_above_lowest_polymorph_mev_per_atom": 0, "lattice": [[3.409, -8.055, 1.382], [4.855, -4.046, 6.203], [-6.821, 5.176, -2.258]], "species": ["Pb", "Pb", "Pb", "Pb", "Br"], "frac_coords": [[0.750, 0.250, 0.500], [0.250, 0.750, 0.500], [0.603, 0.603, 0.000], [0.397, 0.397, 0.000], [0.000, 0.000, 0.000]]}

No. 3
{"formula": "Pr2TmSn3", "functional": "GGA-PBE", "state": "optimized geometry", "space_group": "Immm (71)", "ef_ev_per_atom": -0.5678, "lattice": [[-5.113, -0.197, -0.970], [1.209, -1.198, -6.128], [1.960, -4.840, 4.633]], "species": ["Pr", "Pr", "Tm", "Sn", "Sn", "Sn"], "frac_coords": [[0.675, 0.175, 0.350], [0.325, 0.825, 0.650], [0.000, 0.500, 0.000], [0.354, 0.354, 0.709], [0.000, 0.000, 0.000], [0.646, 0.646, 0.291]]}

No. 4
{"formula": "BaAl2Au", "functional": "GGA-PBE", "state": "optimized geometry", "space_group": "C2 (5)", "ef_ev_per_atom": -0.1500, "lattice": [[5.368, 0.010, 0.474], [0.030, 5.368, 0.474], [-2.342, -2.333, 3.355]], "species": ["Au", "Ba", "Al", "Al"], "frac_coords": [[0.421, 0.579, 0.000], [0.752, 0.248, 0.500], [0.062, 0.938, 0.000], [0.265, 0.735, 0.500]]}

No. 5
{"formula": "PaZn11Ir", "functional": "GGA-PBE", "state": "optimized geometry", "space_group": "C2/m (12)", "ef_ev_per_atom": -0.1346, "lattice": [[0.376, 0.884, 5.065], [3.818, -4.569, 3.272], [5.375, 4.050, 1.518]], "species": ["Pa", "Zn", "Zn", "Zn", "Zn", "Zn", "Zn", "Zn", "Zn", "Zn", "Zn", "Zn", "Ir"], "frac_coords": [[0.000, 0.000, 0.000], [0.282, 0.214, 0.217], [0.718, 0.786, 0.783], [0.501, 0.786, 0.217], [0.499, 0.214, 0.783], [0.371, 0.644, 0.650], [0.629, 0.356, 0.350], [0.979, 0.356, 0.650], [0.021, 0.644, 0.350], [0.000, 0.500, 0.000], [0.500, 0.000, 0.500], [0.000, 0.000, 0.500], [0.500, 0.500, 0.000]]}

No. 6
{"formula": "LiFe2Pb", "functional": "GGA-PBE", "state": "optimized geometry", "space_group": "I-42d (122)", "ef_ev_per_atom": 0.5440, "lattice": [[-3.113, 0.093, 2.000], [1.777, -1.575, 2.840], [1.726, 7.951, 5.741]], "species": ["Pb", "Pb", "Fe", "Fe", "Fe", "Fe", "Li", "Li"], "frac_coords": [[0.000, 0.000, 0.000], [0.750, 0.250, 0.500], [0.623, 0.125, 0.250], [0.127, 0.625, 0.250], [0.375, 0.377, 0.750], [0.875, 0.873, 0.750], [0.500, 0.500, 0.000], [0.250, 0.750, 0.500]]}

no.,spin magnetization (μB/atom)
1,0.000
2,0.000
3,0.000
4,0.000
5,0.020
6,1.251